(1)
Compound: KLuP2O7
Source: Alexandria
Functional: GGA-PBEsol
Structure: optimized geometry

Properties
Calculated total energy, eV/f.u.: -84.47
Theoretical density, g/cm3: 3.9
Raw formation energy, meV/atom: -2740
Space-group type: P2_1/c, No. 14

Lattice parameters (Å, degrees): 7.5521 10.7301 8.5463 90.00 107.24 90.00
Closest atoms and distances in Å follow each position.
Atoms (fractional coordinates):
K: 0.1718 0.1785 0.0682  5 O 2.75-3.08
K: 0.1718 0.3215 0.5682  5 O 2.75-3.08
K: 0.8282 0.6785 0.4318  5 O 2.75-3.08
K: 0.8282 0.8215 0.9318  5 O 2.75-3.08
Lu: 0.2337 0.5973 0.2547  6 O 2.12-2.20
Lu: 0.2337 0.9027 0.7547  6 O 2.12-2.20
Lu: 0.7663 0.0973 0.2453  6 O 2.12-2.20
Lu: 0.7663 0.4027 0.7453  6 O 2.12-2.20
P: 0.1308 0.6006 0.8166  4 O 1.51-1.62
P: 0.1308 0.8994 0.3166  4 O 1.51-1.62
P: 0.4438 0.6417 0.6929  4 O 1.52-1.63
P: 0.4438 0.8583 0.1929  4 O 1.52-1.63
P: 0.5562 0.1417 0.8071  4 O 1.52-1.63
P: 0.5562 0.3583 0.3071  4 O 1.52-1.63
P: 0.8692 0.1006 0.6834  4 O 1.51-1.62
P: 0.8692 0.3994 0.1834  4 O 1.51-1.62
O: 0.0090 0.0018 0.2139  1 P 1.53
O: 0.0090 0.4982 0.7139  1 P 1.53
O: 0.0727 0.7295 0.7410  1 P 1.53
O: 0.0727 0.7705 0.2410  1 P 1.53
O: 0.1377 0.5956 0.9948  1 P 1.51
O: 0.1377 0.9044 0.4948  1 P 1.51
O: 0.3291 0.6144 0.5175  1 P 1.52
O: 0.3291 0.8856 0.0175  1 P 1.52
O: 0.3388 0.5720 0.8096  2 P 1.62-1.63
O: 0.3388 0.9280 0.3096  2 P 1.62-1.63
O: 0.3645 0.0821 0.7619  1 P 1.52
O: 0.3645 0.4179 0.2619  1 P 1.52
O: 0.4581 0.7205 0.2398  1 P 1.53
O: 0.4581 0.7795 0.7398  1 P 1.53
O: 0.5419 0.2205 0.2602  1 P 1.53
O: 0.5419 0.2795 0.7602  1 P 1.53
O: 0.6355 0.5821 0.7381  1 P 1.52
O: 0.6355 0.9179 0.2381  1 P 1.52
O: 0.6612 0.0720 0.6904  2 P 1.62-1.63
O: 0.6612 0.4280 0.1904  2 P 1.62-1.63
O: 0.6709 0.1144 0.9825  1 P 1.52
O: 0.6709 0.3856 0.4825  1 P 1.52
O: 0.8623 0.0956 0.5052  1 P 1.51
O: 0.8623 0.4044 0.0052  1 P 1.51
O: 0.9273 0.2295 0.7590  1 P 1.53
O: 0.9273 0.2705 0.2590  1 P 1.53
O: 0.9910 0.5018 0.2861  1 P 1.53
O: 0.9910 0.9982 0.7861  1 P 1.53


(2)
Compound: K2LuZrP3O12
Source: Alexandria
Functional: GGA-PBEsol
Structure: optimized geometry

Properties
Calculated total energy, eV/f.u.: -149.60
Theoretical density, g/cm3: 3.8
Raw formation energy, meV/atom: -2790
Space-group type: P2_13, No. 198

Lattice parameters (Å, degrees): 10.2996 10.2996 10.2996 90.00 90.00 90.00
Closest atoms and distances in Å follow each position.
Atoms (fractional coordinates):
K: 0.0668 0.4332 0.5668  9 O 3.02-3.08
K: 0.1968 0.8032 0.3032  6 O 2.85-3.02
K: 0.3032 0.1968 0.8032  6 O 2.85-3.02
K: 0.4332 0.5668 0.0668  9 O 3.02-3.08
K: 0.5668 0.0668 0.4332  9 O 3.02-3.08
K: 0.6968 0.6968 0.6968  6 O 2.85-3.02
K: 0.8032 0.3032 0.1968  6 O 2.85-3.02
K: 0.9332 0.9332 0.9332  9 O 3.02-3.08
Lu: 0.1455 0.1455 0.1455  6 O 2.16-2.18
Lu: 0.3545 0.8545 0.6455  6 O 2.16-2.18
Lu: 0.6455 0.3545 0.8545  6 O 2.16-2.18
Lu: 0.8545 0.6455 0.3545  6 O 2.16-2.18
Zr: 0.0871 0.5871 0.9129  6 O 2.06-2.07
Zr: 0.4129 0.4129 0.4129  6 O 2.06-2.07
Zr: 0.5871 0.9129 0.0871  6 O 2.06-2.07
Zr: 0.9129 0.0871 0.5871  6 O 2.06-2.07
P: 0.0359 0.7715 0.6277  4 O 1.53-1.55
P: 0.1277 0.4641 0.2285  4 O 1.53-1.55
P: 0.2285 0.1277 0.4641  4 O 1.53-1.55
P: 0.2715 0.8723 0.9641  4 O 1.53-1.55
P: 0.3723 0.5359 0.7285  4 O 1.53-1.55
P: 0.4641 0.2285 0.1277  4 O 1.53-1.55
P: 0.5359 0.7285 0.3723  4 O 1.53-1.55
P: 0.6277 0.0359 0.7715  4 O 1.53-1.55
P: 0.7285 0.3723 0.5359  4 O 1.53-1.55
P: 0.7715 0.6277 0.0359  4 O 1.53-1.55
P: 0.8723 0.9641 0.2715  4 O 1.53-1.55
P: 0.9641 0.2715 0.8723  4 O 1.53-1.55
O: 0.0052 0.4151 0.8527  1 P 1.55
O: 0.0240 0.7053 0.7627  1 P 1.55
O: 0.0366 0.5580 0.2993  1 P 1.53
O: 0.0580 0.2007 0.9634  1 P 1.53
O: 0.0765 0.3245 0.2345  1 P 1.53
O: 0.0849 0.1473 0.5052  1 P 1.55
O: 0.1473 0.5052 0.0849  1 P 1.55
O: 0.1755 0.7655 0.5765  1 P 1.53
O: 0.2007 0.9634 0.0580  1 P 1.53
O: 0.2053 0.7373 0.9760  1 P 1.55
O: 0.2345 0.0765 0.3245  1 P 1.53
O: 0.2373 0.5240 0.7947  1 P 1.55
O: 0.2627 0.4760 0.2947  1 P 1.55
O: 0.2655 0.9235 0.8245  1 P 1.53
O: 0.2947 0.2627 0.4760  1 P 1.55
O: 0.2993 0.0366 0.5580  1 P 1.53
O: 0.3245 0.2345 0.0765  1 P 1.53
O: 0.3527 0.4948 0.5849  1 P 1.55
O: 0.4151 0.8527 0.0052  1 P 1.55
O: 0.4235 0.6755 0.7345  1 P 1.53
O: 0.4420 0.7993 0.4634  1 P 1.53
O: 0.4634 0.4420 0.7993  1 P 1.53
O: 0.4760 0.2947 0.2627  1 P 1.55
O: 0.4948 0.5849 0.3527  1 P 1.55
O: 0.5052 0.0849 0.1473  1 P 1.55
O: 0.5240 0.7947 0.2373  1 P 1.55
O: 0.5366 0.9420 0.7007  1 P 1.53
O: 0.5580 0.2993 0.0366  1 P 1.53
O: 0.5765 0.1755 0.7655  1 P 1.53
O: 0.5849 0.3527 0.4948  1 P 1.55
O: 0.6473 0.9948 0.9151  1 P 1.55
O: 0.6755 0.7345 0.4235  1 P 1.53
O: 0.7007 0.5366 0.9420  1 P 1.53
O: 0.7053 0.7627 0.0240  1 P 1.55
O: 0.7345 0.4235 0.6755  1 P 1.53
O: 0.7373 0.9760 0.2053  1 P 1.55
O: 0.7627 0.0240 0.7053  1 P 1.55
O: 0.7655 0.5765 0.1755  1 P 1.53
O: 0.7947 0.2373 0.5240  1 P 1.55
O: 0.7993 0.4634 0.4420  1 P 1.53
O: 0.8245 0.2655 0.9235  1 P 1.53
O: 0.8527 0.0052 0.4151  1 P 1.55
O: 0.9151 0.6473 0.9948  1 P 1.55
O: 0.9235 0.8245 0.2655  1 P 1.53
O: 0.9420 0.7007 0.5366  1 P 1.53
O: 0.9634 0.0580 0.2007  1 P 1.53
O: 0.9760 0.2053 0.7373  1 P 1.55
O: 0.9948 0.9151 0.6473  1 P 1.55


(3)
Compound: K2RbLuV2O8
Source: Alexandria
Functional: GGA-PBEsol
Structure: optimized geometry

Properties
Calculated total energy, eV/f.u.: -106.04
Theoretical density, g/cm3: 4.2
Raw formation energy, meV/atom: -2615
Space-group type: P-3m1, No. 164

Lattice parameters (Å, degrees): 5.8518 5.8518 7.5584 90.00 90.00 120.00
Closest atoms and distances in Å follow each position.
Atoms (fractional coordinates):
K: 0.3333 0.6667 0.1888  1 O 2.58
K: 0.6667 0.3333 0.8112  1 O 2.58
Rb: 0.0000 0.0000 0.5000  12 O 3.05-3.39
Lu: 0.0000 0.0000 0.0000  6 O 2.17
V: 0.3333 0.6667 0.7494  4 O 1.66-1.74
V: 0.6667 0.3333 0.2506  4 O 1.66-1.74
O: 0.1729 0.3458 0.8299  1 V 1.74
O: 0.1729 0.8271 0.8299  1 V 1.74
O: 0.3333 0.6667 0.5304  1 V 1.66
O: 0.3458 0.1729 0.1701  1 V 1.74
O: 0.6542 0.8271 0.8299  1 V 1.74
O: 0.6667 0.3333 0.4696  1 V 1.66
O: 0.8271 0.1729 0.1701  1 V 1.74
O: 0.8271 0.6542 0.1701  1 V 1.74


(4)
Compound: K3LuSi2O7
Source: Alexandria
Functional: GGA-PBEsol
Structure: optimized geometry

Properties
Calculated total energy, eV/f.u.: -92.41
Theoretical density, g/cm3: 3.9
Raw formation energy, meV/atom: -2761
Space-group type: P6_3/mmc, No. 194

Lattice parameters (Å, degrees): 5.6995 5.6995 13.9500 90.00 90.00 120.00
Closest atoms and distances in Å follow each position.
Atoms (fractional coordinates):
K: 0.0000 0.0000 0.2500  6 O 2.79
K: 0.0000 0.0000 0.7500  6 O 2.79
K: 0.3333 0.6667 0.0884  9 O 2.85-2.98, 1 Si 3.06
K: 0.3333 0.6667 0.4116  9 O 2.85-2.98, 1 Si 3.06
K: 0.6667 0.3333 0.5884  9 O 2.85-2.98, 1 Si 3.06
K: 0.6667 0.3333 0.9116  9 O 2.85-2.98, 1 Si 3.06
Lu: 0.0000 0.0000 0.0000  6 O 2.18
Lu: 0.0000 0.0000 0.5000  6 O 2.18
Si: 0.3333 0.6667 0.6311  4 O 1.63-1.66
Si: 0.3333 0.6667 0.8689  4 O 1.63-1.66
Si: 0.6667 0.3333 0.1311  4 O 1.63-1.66
Si: 0.6667 0.3333 0.3689  4 O 1.63-1.66
O: 0.1765 0.3531 0.5942  1 Si 1.63
O: 0.1765 0.3531 0.9058  1 Si 1.63
O: 0.1765 0.8235 0.5942  1 Si 1.63
O: 0.1765 0.8235 0.9058  1 Si 1.63
O: 0.3333 0.6667 0.7500  2 Si 1.66
O: 0.3531 0.1765 0.0942  1 Si 1.63
O: 0.3531 0.1765 0.4058  1 Si 1.63
O: 0.6469 0.8235 0.5942  1 Si 1.63
O: 0.6469 0.8235 0.9058  1 Si 1.63
O: 0.6667 0.3333 0.2500  2 Si 1.66
O: 0.8235 0.1765 0.0942  1 Si 1.63
O: 0.8235 0.1765 0.4058  1 Si 1.63
O: 0.8235 0.6469 0.0942  1 Si 1.63
O: 0.8235 0.6469 0.4058  1 Si 1.63


(5)
Compound: KLuW2O8
Source: Alexandria
Functional: GGA-PBEsol
Structure: optimized geometry

Properties
Calculated total energy, eV/f.u.: -106.48
Theoretical density, g/cm3: 7.7
Raw formation energy, meV/atom: -2572
Space-group type: C2/c, No. 15

Lattice parameters (Å, degrees): 7.3750 7.3750 7.4018 118.06 118.06 87.91
Closest atoms and distances in Å follow each position.
Atoms (fractional coordinates):
K: 0.2040 0.7960 0.7500  10 O 2.76-3.06
K: 0.7960 0.2040 0.2500  10 O 2.76-3.06
Lu: 0.2274 0.7726 0.2500  6 O 2.19-2.23
Lu: 0.7726 0.2274 0.7500  6 O 2.19-2.23
W: 0.3001 0.3026 0.2683  4 O 1.80-1.98
W: 0.3026 0.3001 0.7683  4 O 1.80-1.98
W: 0.6974 0.6999 0.2317  4 O 1.80-1.98
W: 0.6999 0.6974 0.7317  4 O 1.80-1.98
O: 0.0365 0.2151 0.6888  1 W 1.80
O: 0.0573 0.3734 0.1164  1 W 1.83
O: 0.2151 0.0365 0.1888  1 W 1.80
O: 0.2342 0.3811 0.5515  1 W 1.82
O: 0.3691 0.5911 0.0350  2 W 1.98-2.09, 1 Lu 2.21
O: 0.3734 0.0573 0.6164  1 W 1.83
O: 0.3811 0.2342 0.0515  1 W 1.82
O: 0.4089 0.6309 0.4650  2 W 1.98-2.09, 1 Lu 2.21
O: 0.5911 0.3691 0.5350  2 W 1.98-2.09, 1 Lu 2.21
O: 0.6189 0.7658 0.9485  1 W 1.82
O: 0.6266 0.9427 0.3836  1 W 1.83
O: 0.6309 0.4089 0.9650  2 W 1.98-2.09, 1 Lu 2.21
O: 0.7658 0.6189 0.4485  1 W 1.82
O: 0.7849 0.9635 0.8112  1 W 1.80
O: 0.9427 0.6266 0.8836  1 W 1.83
O: 0.9635 0.7849 0.3112  1 W 1.80


(6)
Compound: KLuS2
Source: Alexandria
Functional: GGA-PBEsol
Structure: optimized geometry

Properties
Calculated total energy, eV/f.u.: -22.42
Theoretical density, g/cm3: 4.8
Raw formation energy, meV/atom: -1911
Space-group type: R-3m, No. 166

Lattice parameters (Å, degrees): 7.5796 7.5796 7.5796 29.85 29.85 29.85
Closest atoms and distances in Å follow each position.
Atoms (fractional coordinates):
K: 0.0000 0.0000 0.0000  6 S 3.13
Lu: 0.5000 0.5000 0.5000  6 S 2.68
S: 0.2331 0.2331 0.2331  3 Lu 2.68
S: 0.7669 0.7669 0.7669  3 Lu 2.68


(7)
Compound: K3Mg2
Source: Alexandria
Functional: GGA-PBEsol
Structure: optimized geometry

Properties
Calculated total energy, eV/f.u.: -5.69
DFT formation energy, eV/atom: 0.23
Theoretical density, g/cm3: 1.1
Space-group type: P-3m1, No. 164

Lattice parameters (Å, degrees): 6.0736 6.0736 7.7204 90.00 90.00 120.00
Closest atoms and distances in Å follow each position.
Atoms (fractional coordinates):
K: 0.0000 0.0000 0.0000  6 Mg 3.59
K: 0.3333 0.6667 0.3656  1 Mg 3.58
K: 0.6667 0.3333 0.6344  1 Mg 3.58
Mg: 0.3333 0.6667 0.9018  4 K 3.58-3.59, 3 Mg 3.82
Mg: 0.6667 0.3333 0.0982  4 K 3.58-3.59, 3 Mg 3.82


(8)
Compound: KMg4
Source: Alexandria
Functional: GGA-PBEsol
Structure: optimized geometry

Properties
Calculated total energy, eV/f.u.: -7.07
DFT formation energy, eV/atom: 0.19
Theoretical density, g/cm3: 1.6
Space-group type: I4/m, No. 87

Lattice parameters (Å, degrees): 5.8002 5.8002 5.8002 102.00 102.00 125.75
Closest atoms and distances in Å follow each position.
Atoms (fractional coordinates):
K: 0.0000 0.0000 0.0000  12 Mg 3.47-3.55
Mg: 0.1965 0.4454 0.6419  3 Mg 2.98-3.18
Mg: 0.4454 0.8035 0.2489  3 Mg 2.98-3.18
Mg: 0.5546 0.1965 0.7511  3 Mg 2.98-3.18
Mg: 0.8035 0.5546 0.3581  3 Mg 2.98-3.18


(9)
Compound: KMg2
Source: Alexandria
Functional: GGA-PBEsol
Structure: optimized geometry

Properties
Calculated total energy, eV/f.u.: -3.12
DFT formation energy, eV/atom: 0.48
Theoretical density, g/cm3: 1.4
Space-group type: I4/mcm, No. 140

Lattice parameters (Å, degrees): 6.6463 6.6463 6.6463 102.34 102.34 124.93
Closest atoms and distances in Å follow each position.
Atoms (fractional coordinates):
K: 0.2500 0.2500 0.0000  2 K 3.07
K: 0.7500 0.7500 0.0000  2 K 3.07
Mg: 0.1258 0.6258 0.7515  1 Mg 2.96
Mg: 0.3742 0.1258 0.5000  1 Mg 2.96
Mg: 0.6258 0.8742 0.5000  1 Mg 2.96
Mg: 0.8742 0.3742 0.2485  1 Mg 2.96